Crystalline La3Pr6Nd2Mg at its relaxed geometry, computed with PBE-GGA.

Properties
Spin magnetization, μB/atom: 0.00
ΔH_f (0 K), kJ/mol of formula units: 16

Geometry as CIF:
```
data_La3Pr6Nd2Mg
_chemical_formula_sum 'La6 Pr12 Nd4 Mg2'
_symmetry_space_group_name_H-M 'C 1 2/m 1'
_symmetry_Int_Tables_number 12
_cell_length_a 6.364
_cell_length_b 11.040
_cell_length_c 12.182
_cell_angle_alpha 90.00
_cell_angle_beta 100.15
_cell_angle_gamma 90.00
loop_
_symmetry_equiv_pos_as_xyz
'x,y,z'
'-x,-y,-z'
'-x,y,-z'
'x,-y,z'
'x+1/2,y+1/2,z'
'-x+1/2,-y+1/2,-z'
'-x+1/2,y+1/2,-z'
'x+1/2,-y+1/2,z'
loop_
_atom_site_label
_atom_site_fract_x
_atom_site_fract_y
_atom_site_fract_z
La1 0.000 0.000 0.000
La2 0.000 0.331 0.000
Pr1 0.246 0.335 0.746
Pr2 0.248 0.500 0.253
Nd1 0.000 0.167 0.500
Mg1 0.000 0.500 0.500
```